No. 1
Entry from Alexandria via LeMat-Bulk: a relaxed KLi2Ni crystal (PBE).

Cell and atoms, written as extended XYZ:
```
4
Lattice="-1.612 -2.752 1.139 0.000 -1.295 -3.129 7.099 -3.550 1.468" Properties=species:S:1:pos:R:3 pbc="T T T"
K 4.155 -4.504 0.031
Li 0.682 -0.341 0.141
Li 1.328 -3.090 -0.554
Ni 2.873 -1.436 0.594
```

Calculated values
total energy	-2.350	eV/atom

No. 2
Entry from Alexandria via LeMat-Bulk: a relaxed KLi2Ni crystal (PBE).

Cell and atoms, written as extended XYZ:
```
4
Lattice="4.161 0.000 0.000 0.000 2.916 0.004 0.000 1.322 7.667" Properties=species:S:1:pos:R:3 pbc="T T T"
K 2.080 3.283 5.412
Li 0.000 0.474 0.800
Li 2.080 0.598 2.366
Ni 0.000 2.002 2.929
```

Calculated values
total energy	-2.359	eV/atom

No. 3
Entry from Alexandria via LeMat-Bulk: a relaxed K2LiNi crystal (PBE).

Cell and atoms, written as extended XYZ:
```
4
Lattice="-3.786 4.598 -0.389 -5.355 -2.425 1.034 4.975 -0.450 3.267" Properties=species:S:1:pos:R:3 pbc="T T T"
K 0.000 0.000 0.000
K -4.570 1.086 0.323
Li -2.475 -0.894 2.312
Ni -1.691 2.617 1.600
```

Calculated values
total energy	-1.849	eV/atom

No. 4
Entry from Alexandria via LeMat-Bulk: a relaxed K2LiNi crystal (PBE).

Cell and atoms, written as extended XYZ:
```
4
Lattice="5.117 0.926 -0.017 -0.631 5.162 -0.017 0.014 0.018 4.804" Properties=species:S:1:pos:R:3 pbc="T T T"
K 0.000 0.000 0.000
K 2.243 3.044 -0.017
Li 2.565 0.472 2.393
Ni -0.309 2.590 2.393
```

Calculated values
total energy	-1.839	eV/atom

No. 5
Entry from Alexandria via LeMat-Bulk: a relaxed K2LiNi crystal (PBE).

Cell and atoms, written as extended XYZ:
```
4
Lattice="-3.775 -0.896 2.025 -2.116 -3.735 -0.850 2.620 -5.477 6.920" Properties=species:S:1:pos:R:3 pbc="T T T"
K 2.073 -5.061 6.194
K -0.272 -2.946 2.752
Li -1.061 -5.546 4.865
Ni -3.026 -7.086 5.252
```

Calculated values
total energy	-2.080	eV/atom

No. 6
Entry from Alexandria via LeMat-Bulk: a relaxed KLi2Ni crystal (PBE).

Cell and atoms, written as extended XYZ:
```
4
Lattice="-0.379 1.893 5.378 3.902 -4.030 -1.180 2.579 1.590 -0.054" Properties=species:S:1:pos:R:3 pbc="T T T"
K 1.762 -1.069 2.099
Li 0.000 0.000 0.000
Li 1.100 1.741 2.662
Ni 3.240 -1.220 -0.617
```

Calculated values
total energy	-2.149	eV/atom

No. 7
Entry from Alexandria via LeMat-Bulk: a relaxed K2LiNi crystal (PBE).

Cell and atoms, written as extended XYZ:
```
4
Lattice="6.725 0.043 0.010 3.069 5.985 -0.010 -4.232 -4.094 3.250" Properties=species:S:1:pos:R:3 pbc="T T T"
K 0.416 0.256 0.000
K 3.609 -0.572 1.630
Li 4.113 2.531 0.000
Ni 2.322 2.732 1.620
```

Calculated values
total energy	-2.019	eV/atom

No. 8
Entry from Alexandria via LeMat-Bulk: a relaxed K3LiNi crystal (PBE).

Cell and atoms, written as extended XYZ:
```
5
Lattice="6.234 0.000 0.000 0.000 6.234 0.000 0.000 0.000 6.234" Properties=species:S:1:pos:R:3 pbc="T T T"
Ni 0.000 0.000 0.000
K 0.000 3.117 0.000
K 0.000 0.000 3.117
K 3.117 0.000 0.000
Li 3.117 3.117 3.117
```

Calculated values
total energy	-1.683	eV/atom